Computed, not measured: an optimized crystal structure of AcSm12Er7 at the PBE-GGA level of DFT.

## Properties
- calculated volume (Å³ per cell) = 769.2
- excess energy over the best structure of this formula in the dataset (eV per atom) = 0.429
- ΔH_f (0 K) (eV/atom) = 0.66
- SG = Im-3 (204)

The structure in extended XYZ format:
```
20
Lattice="9.4255 0.0000 -3.3324 -4.7127 8.1627 -3.3324 0.0000 0.0000 9.9972" Properties=species:S:1:pos:R:3 pbc="T T T"
Sm 3.7812 2.2053 -0.0273
Er 0.0000 0.0000 4.9986
Sm 5.6250 2.1719 6.6375
Sm 5.9474 5.9573 -3.0908
Er 4.7127 0.0000 -1.6662
Sm 4.7320 3.7854 3.3051
Sm 6.8982 0.0334 0.2416
Er 2.3564 4.0813 1.6662
Sm 0.9315 5.9573 3.3597
Er 2.3564 4.0813 -3.3324
Sm -0.9122 5.9907 -3.3051
Sm 1.2925 2.1719 3.5740
Sm 3.4202 5.9907 -0.2416
Er 4.7127 0.0000 3.3324
Sm -1.2347 2.2053 6.4232
Ac 0.0000 0.0000 0.0000
Sm -0.0193 4.3773 0.0273
Er -2.3564 4.0813 3.3324
Er -2.3564 4.0813 -1.6662
Sm -2.1855 8.1293 3.0908
```